Below is an optimized crystal structure of TmPaRh2, with properties calculated at the PBE level.

Energy relative to the lowest polymorph listed for this composition in eV/atom: 0.0999
D(E_F) in states/eV/cell: 2.96
ρ in g cm⁻³: 11.44
SG: R-3m, No. 166
Energy relative to the elements in eV/f.u.: -3.17

Geometry as extended XYZ:
```
4
Lattice="3.887 0.000 0.000 1.943 3.366 0.000 1.943 1.122 6.719" Properties=species:S:1:pos:R:3 pbc="T T T"
Rh 1.943 1.122 1.574
Rh 5.830 3.366 5.145
Pa 0.000 0.000 0.000
Tm 3.887 2.244 3.360
```